A plane-wave DFT calculation with GGA-PBE was carried out for a relaxed CoTcAg2Rh crystal.

Properties
Crystal system: tetragonal
SG: P4/mmm
DFT total energy in eV/cell: -23.5
Formation energy in eV per formula unit: 7.012
ρ in g/cm3: 8.0

Cell: 4.695 4.455 4.695 Å, 90.00 90.00 90.00°
Sites, in units of the cell vectors:
Ag 0.000 0.000 0.500
Ag 0.500 0.000 0.000
Co 0.000 0.000 0.000
Rh 0.000 0.500 0.000
Tc 0.500 0.500 0.500